GGA+U RbErCrF6, optimized geometry; total magnetic moment = 0.4444 μB per atom; final energy = -0.44082 Ry/atom; SG = No. 74; Fermi-level density of states = 0.00 states/eV/f.u.
1.0
-5.953 -3.110 4.666
-0.778 -5.788 -4.851
7.308 1.404 3.094
Rb F Cr Er
2 12 2 2
Cartesian
1.418 -2.692 0.015 Rb
-0.841 -4.802 2.894 Rb
-0.773 -1.582 2.464 F
3.562 -4.757 -1.289 F
3.346 -4.181 1.482 F
-2.985 -2.737 4.197 F
-1.221 -4.917 -0.331 F
-0.285 -2.036 5.446 F
1.799 -2.578 3.240 F
4.010 -1.422 1.506 F
0.863 -5.458 -2.537 F
-3.433 -6.072 1.402 F
1.350 -5.913 0.444 F
-2.769 -3.313 1.426 F
-2.977 -1.555 2.333 Cr
-3.366 -4.449 -0.093 Cr
0.678 -0.853 3.880 Er
3.654 0.702 1.547 Er